First-principles (PBE with a Hubbard U) data for a relaxed structure of LiFeSi3O8, as listed in the Alexandria database.

Properties
Excess energy over the best structure of this formula in the dataset in kJ/mol of atoms: 0.0
Calculated total energy in eV per atom: -7.34

Structure (POSCAR):
```
LiFeSi3O8
1.0
-1.237 3.002 -6.575
-6.717 0.606 2.588
5.160 3.879 4.468
O Fe Si Li
16 2 6 2
direct
0.692 0.536 0.962
0.859 0.630 0.677
0.575 0.268 0.566
0.698 0.285 0.295
0.308 0.464 0.038
0.030 0.712 0.350
0.915 0.948 0.161
0.674 0.794 0.292
0.326 0.206 0.708
0.706 0.145 0.873
0.425 0.732 0.434
0.141 0.370 0.323
0.294 0.855 0.127
0.970 0.288 0.650
0.085 0.052 0.839
0.302 0.715 0.705
0.151 0.808 0.841
0.849 0.192 0.159
0.580 0.289 0.786
0.420 0.711 0.214
0.172 0.251 0.811
0.828 0.749 0.189
0.777 0.373 0.545
0.223 0.627 0.455
0.747 0.881 0.686
0.253 0.119 0.314
```